Record 1
## CaScAl2Au4 (PBE)

Data for an optimized crystal structure of CaScAl2Au4.

```
CaScAl2Au4
1.0
-3.9488 -2.5001 -0.5174
0.2363 -4.6122 -0.8845
-1.3103 -3.8744 7.3538
Sc Al Au Ca
1 2 4 1
Cartesian
-2.5114 -5.4934 2.9759
-1.2563 -2.7586 1.5497
-3.7665 -8.2282 4.4022
-1.2818 -3.2873 4.2998
-2.5364 -6.0115 5.6708
-2.4863 -4.9753 0.2811
-3.7409 -7.6995 1.6521
0.0000 0.0000 0.0000
```

symmetry = R-3m (166)
ΔH_f (0 K) = -0.638 eV per atom

Record 2
## Ca2ScAl4Au3 (PBE)

Data for an optimized crystal structure of Ca2ScAl4Au3.

```
Ca2ScAl4Au3
1.0
4.2324 0.0000 0.0000
0.0000 4.2324 0.0000
0.0000 0.0000 11.8791
Al Sc Au Ca
4 1 3 2
Cartesian
0.0000 0.0000 0.0000
0.0000 2.1162 4.0930
2.1162 2.1162 0.0000
2.1162 0.0000 7.7860
2.1162 2.1162 5.9395
0.0000 2.1162 1.5446
2.1162 0.0000 10.3345
0.0000 0.0000 5.9395
2.1162 0.0000 2.8106
0.0000 2.1162 9.0685
```

symmetry = P-4m2 (115)
ΔH_f (0 K) = -0.544 eV per atom

Record 3
## Ca3Al2SiAu9 (PBE)

Data for an optimized crystal structure of Ca3Al2SiAu9.

```
Ca3Al2SiAu9
1.0
6.9169 0.0000 0.0000
-3.4585 5.9902 0.0000
0.0000 0.0000 8.4067
Ca Au Al Si
3 9 2 1
Cartesian
0.0000 3.9935 5.7194
3.4585 1.9967 2.6873
0.0000 0.0000 0.0000
0.0000 1.7291 2.4897
5.4195 0.8645 5.9170
1.9611 5.1257 2.4897
-1.7292 2.9951 0.0000
-1.9610 5.1257 2.4897
1.7292 2.9951 0.0000
3.4585 0.0000 0.0000
1.4974 0.8645 5.9170
3.4585 4.2612 5.9170
3.4585 1.9967 6.8078
0.0000 3.9935 1.5989
0.0000 0.0000 4.2033
```

symmetry = P-3m1 (164)
uncorrected energy = -0.267 Ry/atom

Record 4
## Ca2AlSi3Au4 (PBE)

Data for an optimized crystal structure of Ca2AlSi3Au4.

```
Ca2AlSi3Au4
1.0
4.2512 0.0000 0.0000
0.0000 4.2512 0.0000
0.0000 0.0000 10.7970
Si Au Ca Al
3 4 2 1
Cartesian
2.1256 0.0000 9.3323
0.0000 0.0000 5.3985
0.0000 2.1256 1.4647
2.1256 2.1256 0.0000
0.0000 0.0000 0.0000
0.0000 2.1256 3.9249
2.1256 0.0000 6.8721
2.1256 0.0000 2.6054
0.0000 2.1256 8.1915
2.1256 2.1256 5.3985
```

symmetry = P-4m2 (115)
uncorrected energy = -0.311 Ry/atom

Record 5
## Ca2AlSi2Au6 (PBE)

Data for an optimized crystal structure of Ca2AlSi2Au6.

```
Ca2AlSi2Au6
1.0
6.9323 0.0000 0.0000
3.4662 6.0036 0.0000
3.4662 2.0012 5.9713
Ca Si Au Al
2 2 6 1
Cartesian
10.3985 6.0036 4.7112
3.4662 2.0012 1.2601
6.9323 4.0024 4.2466
6.9323 4.0024 1.7247
4.8892 2.8228 4.0136
8.9754 2.8228 4.0136
8.9754 5.1819 1.9577
6.9323 6.3615 4.0136
6.9323 1.6432 1.9577
4.8892 5.1819 1.9577
0.0000 0.0000 0.0000
```

symmetry = R-3m (166)
uncorrected energy = -0.283 Ry/atom

Record 6
## CaSmAlAu (PBE)

Data for an optimized crystal structure of CaSmAlAu.

```
CaSmAlAu
1.0
-4.4185 -2.7276 0.3510
-0.4143 -3.8460 3.4817
-3.0868 0.5693 4.1513
Sm Ca Al Au
1 1 1 1
Cartesian
-5.9397 -4.5032 5.9880
-1.9799 -1.5011 1.9960
-3.9598 -3.0021 3.9920
0.0000 0.0000 0.0000
```

symmetry = F-43m (216)
ΔH_f (0 K) = -0.513 eV per atom

Record 7
## CaAlSnAu2 (PBE)

Data for an optimized crystal structure of CaAlSnAu2.

```
CaAlSnAu2
1.0
-3.7383 -2.3018 2.9164
3.6237 -3.1167 2.1851
0.7725 3.5652 3.8041
Au Al Sn Ca
2 1 1 1
Cartesian
0.3862 1.7826 1.9021
-1.8692 -1.1509 1.4582
1.8119 -1.5584 1.0926
0.0000 0.0000 0.0000
0.3289 -0.9266 4.4528
```

symmetry = P4/mmm (123)
ΔH_f (0 K) = 0.125 eV per atom

Record 8
## Ca3Al2SnAu6 (PBE)

Data for an optimized crystal structure of Ca3Al2SnAu6.

```
Ca3Al2SnAu6
1.0
-4.7219 1.1785 3.2001
5.0353 -1.3180 2.6144
2.3599 9.2014 0.0935
Al Au Sn Ca
2 6 1 3
Cartesian
1.8781 -0.1146 2.8134
0.7952 9.1766 3.0946
1.1447 6.9072 4.4461
0.9917 6.9753 1.6065
1.5286 2.1548 1.4620
3.9876 1.5111 2.7387
-1.3143 7.5508 3.1693
1.6816 2.0867 4.3015
1.1800 4.6007 0.0467
0.0000 0.0000 0.0000
-0.5384 3.9770 3.0418
3.2116 5.0849 2.8663
```

symmetry = P-3m1 (164)
ΔH_f (0 K) = -0.422 eV per atom